Entry 1:
Dy4In2Bi, relaxed, DFT GGA-PBE; magnetization = 0.00 μB per atom; raw total energy = -4.368 eV/atom; space-group type = P2_1/m
1.0
5.807 0.000 0.000
0.000 6.575 0.000
-2.892 0.000 10.546
Dy In Bi
8 4 2
direct
0.069 0.250 0.140 Dy
0.220 0.750 0.445 Dy
0.368 0.007 0.734 Dy
0.368 0.493 0.734 Dy
0.632 0.507 0.266 Dy
0.632 0.993 0.266 Dy
0.780 0.250 0.555 Dy
0.931 0.750 0.860 Dy
0.222 0.250 0.439 In
0.499 0.750 0.996 In
0.501 0.250 0.004 In
0.778 0.750 0.561 In
0.079 0.750 0.159 Bi
0.921 0.250 0.841 Bi

Entry 2:
Dy6In2Bi, relaxed, DFT GGA-PBE; magnetization = 0.18 μB per atom; raw total energy = -4.495 eV/atom; space-group type = P-62m
1.0
8.717 0.000 0.000
-4.359 7.549 0.000
0.000 0.000 4.017
Dy In Bi
6 2 1
direct
0.000 0.392 0.000 Dy
0.000 0.721 0.500 Dy
0.279 0.279 0.500 Dy
0.392 0.000 0.000 Dy
0.608 0.608 0.000 Dy
0.721 0.000 0.500 Dy
0.333 0.667 0.500 In
0.667 0.333 0.500 In
0.000 0.000 0.000 Bi

Entry 3:
Dy7In2Bi2, relaxed, DFT GGA-PBE; magnetization = 0.01 μB per atom; raw total energy = -4.318 eV/atom; space-group type = Cmmm
1.0
4.125 -5.520 0.000
4.125 5.520 0.000
0.000 0.000 7.755
Dy In Bi
7 2 2
direct
0.000 0.000 0.000 Dy
0.000 0.500 0.288 Dy
0.000 0.500 0.712 Dy
0.500 0.000 0.288 Dy
0.500 0.000 0.712 Dy
0.500 0.500 0.278 Dy
0.500 0.500 0.722 Dy
0.174 0.174 0.500 In
0.826 0.826 0.500 In
0.290 0.710 0.000 Bi
0.710 0.290 0.000 Bi